Entry 1:
5
Lattice="-0.1421 0.1250 -5.5243 4.7067 -4.5621 -0.2243 -4.5645 -4.7097 0.0108" Properties=species:S:1:pos:R:3 comment="GGA-PBEsol Rb2CaSnAs, relaxed" total_energy_ev_per_atom=-2.70 volume_a3_per_atom=47.55 space_group="P4/mmm, No. 123" pbc="T T T"
Rb 2.3534 -2.2811 -0.1121
Rb -2.2823 -2.3549 0.0054
Sn 0.0001 -4.5734 -2.8689
As 0.0000 0.0000 0.0000
Ca -0.0710 0.0625 -2.7621

=====

Entry 2:
14
Lattice="-0.7533 5.1591 2.7447 -4.9138 1.1766 3.0311 0.1051 0.3139 5.8924" Properties=species:S:1:pos:R:3 comment="GGA-PBEsol LiV2O3F, relaxed" total_energy_ev_per_atom=-7.91 formation_energy_uncorrected_ev_per_atom=-2.353 volume_a3_per_atom=10.14 space_group="Cm, No. 8" pbc="T T T"
O -4.1718 4.7691 5.7140
O -1.3907 1.8785 5.9184
O -4.1869 5.0153 8.9175
O -1.4417 1.7051 2.7669
O -3.8915 2.2948 4.4848
O -1.8056 4.2915 4.3412
Li -2.8056 3.1410 2.9215
Li -0.6737 1.0167 4.3510
V -4.8503 5.5907 7.2826
V -2.3273 0.5896 1.5073
V -0.3839 2.4499 1.3735
V -2.7498 3.2843 5.7240
F -3.6964 2.4315 7.3571
F -1.7440 4.3004 7.2227

=====

Entry 3:
4
Lattice="3.4574 0.0000 0.0000 0.0000 5.7491 -0.0432 0.0000 -2.0611 5.3672" Properties=species:S:1:pos:R:3 comment="GGA-PBEsol LiSbPb2, relaxed" total_energy_ev_per_atom=-3.74 formation_energy_uncorrected_ev_per_atom=-0.108 volume_a3_per_atom=26.59 space_group="Cmmm, No. 65" pbc="T T T"
Pb 0.0000 -1.0305 2.6836
Pb 0.0000 2.8746 -0.0216
Li 1.7287 1.8440 2.6620
Sb 1.7287 0.0000 0.0000

=====

Entry 4:
4
Lattice="3.3906 0.0000 0.0000 1.6953 2.9363 0.0000 1.6953 0.9788 2.7684" Properties=species:S:1:pos:R:3 comment="GGA-PBEsol H2RuF, relaxed" total_energy_ev_per_atom=-4.27 volume_a3_per_atom=6.89 space_group="Fm-3m, No. 225" pbc="T T T"
H 1.6953 0.9788 0.6921
H 5.0858 2.9363 2.0763
F 0.0000 0.0000 0.0000
Ru 3.3906 1.9575 1.3842

=====

Entry 5:
5
Lattice="-0.2377 -3.4762 2.1518 -0.0235 -2.1542 -3.4828 6.0380 -0.3168 0.1553" Properties=species:S:1:pos:R:3 comment="GGA-PBEsol ZrGeIO2, relaxed" total_energy_ev_per_atom=-6.52 formation_energy_uncorrected_ev_per_atom=-1.261 volume_a3_per_atom=20.29 space_group="P4/mmm, No. 123" pbc="T T T"
O -0.0117 -1.0771 -1.7414
O -0.1188 -1.7381 1.0759
Ge 2.8884 -2.9736 -0.5879
Zr 0.0000 0.0000 0.0000
I 3.0190 -0.1584 0.0776

=====

Entry 6:
5
Lattice="-2.6950 3.5313 -1.0099 -0.8322 -1.8071 -4.0981 -3.5774 -2.2399 1.7142" Properties=species:S:1:pos:R:3 comment="GGA-PBEsol Cd3SiB, relaxed" total_energy_ev_per_atom=-2.53 formation_energy_uncorrected_ev_per_atom=0.736 volume_a3_per_atom=18.91 space_group="Pm-3m, No. 221" pbc="T T T"
Cd -1.3475 1.7657 -0.5050
Cd -0.4161 -0.9036 -2.0491
Cd -1.7887 -1.1199 0.8571
Si -3.5523 -0.2578 -1.6969
B 0.0000 0.0000 0.0000

=====

Entry 7:
5
Lattice="-4.8442 -0.4808 -0.6859 -0.2009 -3.2411 3.6910 -0.8132 3.6650 3.1741" Properties=species:S:1:pos:R:3 comment="GGA-PBEsol Ta3CoSn, relaxed" total_energy_ev_per_atom=-7.47 volume_a3_per_atom=23.76 space_group="Pm-3m, No. 221" pbc="T T T"
Ta -2.4221 -0.2404 -0.3430
Ta -0.1005 -1.6206 1.8455
Ta -0.4066 1.8325 1.5870
Sn 0.0000 0.0000 0.0000
Co -2.9292 -0.0285 3.0895

=====

Entry 8:
3
Lattice="3.5880 0.0000 0.0000 -1.7940 3.1073 0.0000 0.0000 0.0000 4.9895" Properties=species:S:1:pos:R:3 comment="GGA-PBEsol AsIrSe, relaxed" total_energy_ev_per_atom=-6.35 formation_energy_uncorrected_ev_per_atom=-0.094 volume_a3_per_atom=18.54 space_group="P3m1, No. 156" pbc="T T T"
As 0.0000 0.0000 4.6760
Ir 0.0000 2.0715 3.3707
Se 1.7940 1.0358 1.9322